# 1
Here is a geometry-optimized Cu2SbW structure from Alexandria. Energies are from PBE.

- Total magnetic moment: 0.00 μB per formula unit
- SG: C2/m (12)
- E: -5.7959 eV per atom
- Formation energy from raw total energies: 201 kJ/mol of formula units

Lattice parameters (Å, degrees): 5.3679 5.3679 4.5123 113.76 113.76 32.83
Fractional positions:
Cu1 0.2475 0.2475 0.2451
Cu2 0.7525 0.7525 0.7549
Sb1 0.0000 0.0000 0.5000
W1 0.5000 0.5000 0.0000

# 2
Here is a geometry-optimized CsCuN2F structure from Alexandria. Energies are from PBE.

- Total magnetic moment: 3.76 μB per formula unit
- SG: P4/mmm (123)
- E: -4.2777 eV per atom
- Polymorph energy (0 for the lowest one): 0 meV/atom
- Formation energy from raw total energies: 201 kJ/mol of formula units

Lattice parameters (Å, degrees): 3.8977 3.8977 5.8126 90.00 90.00 90.00
Fractional positions:
Cs1 0.0000 0.0000 0.0000
Cu1 0.5000 0.5000 0.5000
N1 0.0000 0.5000 0.5000
N2 0.5000 0.0000 0.5000
F1 0.5000 0.5000 0.0000

# 3
Here is a geometry-optimized ZrS2Br structure from Alexandria. Energies are from PBE.

- Total magnetic moment: 0.99 μB per formula unit
- SG: I-42d (122)
- E: -5.2468 eV per atom
- Polymorph energy (0 for the lowest one): 520 meV/atom
- Formation energy from raw total energies: -242 kJ/mol of formula units

Lattice parameters (Å, degrees): 7.2603 7.2603 7.2603 122.13 122.13 86.34
Fractional positions:
Zr1 0.0000 0.0000 0.0000
Zr2 0.7500 0.2500 0.5000
S1 0.0203 0.6250 0.8953
S2 0.3750 0.2703 0.3953
S3 0.7297 0.1250 0.1047
S4 0.8750 0.9797 0.6047
Br1 0.2500 0.7500 0.5000
Br2 0.5000 0.5000 0.0000

# 4
Here is a geometry-optimized ZnInAg6 structure from Alexandria. Energies are from PBE.

- Total magnetic moment: 0.00 μB per formula unit
- Formation enthalpy at 0 K: 57 meV per atom
- SG: P-1 (2)
- E: -2.5825 eV per atom
- Polymorph energy (0 for the lowest one): 64 meV/atom

Lattice parameters (Å, degrees): 5.3228 5.3363 5.3483 83.83 83.52 84.22
Fractional positions:
Zn1 0.0000 0.0000 0.0000
In1 0.5000 0.5000 0.5000
Ag1 0.0259 0.2435 0.5189
Ag2 0.2436 0.5158 0.0272
Ag3 0.4962 0.9757 0.7551
Ag4 0.5038 0.0243 0.2449
Ag5 0.7564 0.4842 0.9728
Ag6 0.9741 0.7565 0.4811

# 5
Here is a geometry-optimized YAlPd3 structure from Alexandria. Energies are from PBE.

- Total magnetic moment: 0.00 μB per formula unit
- Formation enthalpy at 0 K: -512 meV per atom
- SG: Pm-3m (221)
- E: -5.6691 eV per atom
- Polymorph energy (0 for the lowest one): 216 meV/atom

Lattice parameters (Å, degrees): 4.6354 4.6354 4.6354 90.00 90.00 90.00
Fractional positions:
Y1 0.0000 0.0000 0.0000
Al1 0.5000 0.5000 0.5000
Pd1 0.0000 0.5000 0.5000
Pd2 0.5000 0.0000 0.5000
Pd3 0.5000 0.5000 0.0000